(1)
MgSbPd2: optimized geometry, PBE.

a = 4.614 Å, b = 6.529 Å, c = 13.845 Å
α = 90.00°, β = 90.00°, γ = 90.00°
Fractional coordinates of all 24 atoms:
Pd 0.500 0.250 0.667
Pd 0.000 0.750 0.833
Pd 0.500 0.750 0.667
Pd 0.500 0.250 0.333
Pd 0.500 0.750 0.000
Pd 0.000 0.250 0.500
Pd 0.500 0.250 0.000
Pd 0.000 0.750 0.167
Pd 0.000 0.250 0.167
Pd 0.000 0.750 0.500
Pd 0.000 0.250 0.833
Pd 0.500 0.750 0.333
Mg 0.500 0.000 0.167
Mg 0.000 0.500 0.667
Mg 0.500 0.000 0.500
Mg 0.000 0.500 0.000
Mg 0.500 0.000 0.833
Mg 0.000 0.500 0.333
Sb 0.000 0.000 0.333
Sb 0.500 0.500 0.500
Sb 0.500 0.500 0.167
Sb 0.000 0.000 0.667
Sb 0.000 0.000 0.000
Sb 0.500 0.500 0.833

Computed properties:
The calculated total energy comes out at -4.619 eV/atom. The distance to the lowest polymorph of the same formula comes out at 0.000 eV/atom.

***

(2)
MgZrSb2Pd2: optimized geometry, PBE.

a = 6.352 Å, b = 6.352 Å, c = 7.794 Å
α = 65.95°, β = 65.95°, γ = 90.00°
Fractional coordinates of all 12 atoms:
Pd 0.378 0.875 0.750
Pd 0.625 0.622 0.250
Pd 0.125 0.128 0.250
Pd 0.872 0.375 0.750
Sb 0.248 0.248 0.504
Sb 0.752 0.752 0.496
Sb 0.498 0.998 0.004
Sb 0.002 0.502 0.996
Mg 0.000 0.000 0.000
Mg 0.250 0.750 0.500
Zr 0.500 0.500 0.000
Zr 0.750 0.250 0.500

Computed properties:
The calculated total energy comes out at -5.534 eV/atom. As for the total magnetic moment: 0.00 μB per cell.

***

(3)
MgScPd2: optimized geometry, PBE.

a = 4.505 Å, b = 4.505 Å, c = 8.347 Å
α = 90.00°, β = 90.00°, γ = 120.00°
Fractional coordinates of all 8 atoms:
Pd 0.667 0.333 0.090
Pd 0.333 0.667 0.910
Pd 0.333 0.667 0.590
Pd 0.667 0.333 0.410
Sc 0.000 0.000 0.500
Sc 0.000 0.000 0.000
Mg 0.333 0.667 0.250
Mg 0.667 0.333 0.750

Computed properties:
The calculated total energy comes out at -5.279 eV/atom. As for the total magnetic moment: 0.01 μB per cell.

***

(4)
MgScPd2: optimized geometry, PBE.

a = 4.433 Å, b = 4.433 Å, c = 8.491 Å
α = 90.00°, β = 90.00°, γ = 120.00°
Fractional coordinates of all 8 atoms:
Mg 0.000 0.000 0.500
Mg 0.000 0.000 0.000
Pd 0.333 0.667 0.912
Pd 0.333 0.667 0.588
Pd 0.667 0.333 0.088
Pd 0.667 0.333 0.412
Sc 0.667 0.333 0.750
Sc 0.333 0.667 0.250

Computed properties:
The calculated total energy comes out at -5.325 eV/atom. As for the total magnetic moment: 0.01 μB per cell.

***

(5)
MgScPd2: optimized geometry, PBE.

a = 4.668 Å, b = 4.668 Å, c = 7.871 Å
α = 90.00°, β = 90.00°, γ = 120.00°
Fractional coordinates of all 8 atoms:
Mg 0.000 0.000 0.250
Mg 0.000 0.000 0.750
Pd 0.667 0.333 0.582
Pd 0.667 0.333 0.918
Pd 0.333 0.667 0.082
Pd 0.333 0.667 0.418
Sc 0.333 0.667 0.750
Sc 0.667 0.333 0.250

Computed properties:
The calculated total energy comes out at -4.869 eV/atom. As for the total magnetic moment: 0.01 μB per cell.

***

(6)
MgScTlPd: optimized geometry, PBE.

a = 4.779 Å, b = 4.779 Å, c = 4.779 Å
α = 60.00°, β = 60.00°, γ = 60.00°
Fractional coordinates of all 4 atoms:
Mg 0.750 0.750 0.750
Pd 0.000 0.000 0.000
Sc 0.500 0.500 0.500
Tl 0.250 0.250 0.250

Computed properties:
The calculated total energy comes out at -4.214 eV/atom. The distance to the lowest polymorph of the same formula comes out at 0.112 eV/atom. As for the total magnetic moment: 0.00 μB per cell.

***

(7)
MgScTlPd: optimized geometry, PBE.

a = 4.815 Å, b = 4.815 Å, c = 4.815 Å
α = 60.00°, β = 60.00°, γ = 60.00°
Fractional coordinates of all 4 atoms:
Tl 0.500 0.500 0.500
Pd 0.000 0.000 0.000
Sc 0.250 0.250 0.250
Mg 0.750 0.750 0.750

Computed properties:
The calculated total energy comes out at -4.326 eV/atom. The distance to the lowest polymorph of the same formula comes out at 0.000 eV/atom. As for the total magnetic moment: 0.00 μB per cell.

***

(8)
MgScTlPd: optimized geometry, PBE.

a = 4.776 Å, b = 4.776 Å, c = 4.776 Å
α = 60.00°, β = 60.00°, γ = 60.00°
Fractional coordinates of all 4 atoms:
Pd 0.250 0.250 0.250
Tl 0.500 0.500 0.500
Mg 0.750 0.750 0.750
Sc 0.000 0.000 0.000

Computed properties:
The calculated total energy comes out at -4.224 eV/atom. The distance to the lowest polymorph of the same formula comes out at 0.102 eV/atom. As for the total magnetic moment: 0.00 μB per cell.

***

(9)
MgSc2TlPd4: optimized geometry, PBE.

a = 4.637 Å, b = 4.637 Å, c = 6.542 Å
α = 90.00°, β = 90.00°, γ = 90.00°
Fractional coordinates of all 8 atoms:
Tl 0.500 0.500 0.500
Pd 0.500 0.000 0.763
Pd 0.000 0.500 0.237
Pd 0.000 0.500 0.763
Pd 0.500 0.000 0.237
Sc 0.500 0.500 0.000
Sc 0.000 0.000 0.500
Mg 0.000 0.000 0.000

Computed properties:
The calculated total energy comes out at -5.396 eV/atom. As for the total magnetic moment: 0.01 μB per cell.

***

(10)
Mg2Ta4PdSe12: optimized geometry, PBE.

a = 7.582 Å, b = 7.582 Å, c = 19.288 Å
α = 109.42°, β = 109.42°, γ = 27.66°
Fractional coordinates of all 19 atoms:
Se 0.611 0.611 0.782
Se 0.040 0.040 0.422
Se 0.877 0.877 0.060
Se 0.351 0.351 0.719
Se 0.649 0.649 0.281
Se 0.123 0.123 0.940
Se 0.884 0.884 0.872
Se 0.389 0.389 0.218
Se 0.116 0.116 0.128
Se 0.700 0.700 0.571
Se 0.960 0.960 0.578
Se 0.300 0.300 0.429
Mg 0.979 0.979 0.713
Mg 0.021 0.021 0.287
Ta 0.494 0.494 0.142
Ta 0.672 0.672 0.432
Ta 0.328 0.328 0.568
Ta 0.506 0.506 0.858
Pd 0.000 0.000 0.000

Computed properties:
The calculated total energy comes out at -5.836 eV/atom. As for the total magnetic moment: 0.13 μB per cell.

***

(11)
MgSiPd2: optimized geometry, PBE.

a = 4.416 Å, b = 4.416 Å, c = 4.416 Å
α = 60.00°, β = 60.00°, γ = 60.00°
Fractional coordinates of all 4 atoms:
Mg 0.250 0.250 0.250
Si 0.500 0.500 0.500
Pd 0.000 0.000 0.000
Pd 0.750 0.750 0.750

Computed properties:
The calculated total energy comes out at -4.678 eV/atom.

***

(12)
Mg2Si2Pd3: optimized geometry, PBE.

a = 7.333 Å, b = 7.333 Å, c = 7.333 Å
α = 34.10°, β = 34.10°, γ = 34.10°
Fractional coordinates of all 7 atoms:
Mg 0.237 0.237 0.237
Mg 0.757 0.757 0.757
Si 0.002 0.002 0.002
Si 0.498 0.498 0.498
Pd 0.880 0.880 0.880
Pd 0.628 0.628 0.628
Pd 0.372 0.372 0.372

Computed properties:
The calculated total energy comes out at -4.782 eV/atom.

***

(13)
Mg2Si2Pd: optimized geometry, PBE.

a = 6.333 Å, b = 6.333 Å, c = 4.210 Å
α = 90.00°, β = 90.00°, γ = 90.00°
Fractional coordinates of all 10 atoms:
Si 0.866 0.634 0.000
Si 0.366 0.866 0.000
Si 0.634 0.134 0.000
Si 0.134 0.366 0.000
Pd 0.000 0.000 0.000
Pd 0.500 0.500 0.000
Mg 0.175 0.675 0.500
Mg 0.675 0.825 0.500
Mg 0.325 0.175 0.500
Mg 0.825 0.325 0.500

Computed properties:
The calculated total energy comes out at -4.188 eV/atom.

***

(14)
SrMgSiPd: optimized geometry, PBE.

a = 4.834 Å, b = 4.834 Å, c = 4.834 Å
α = 60.00°, β = 60.00°, γ = 60.00°
Fractional coordinates of all 4 atoms:
Pd 0.000 0.000 0.000
Sr 0.500 0.500 0.500
Si 0.250 0.250 0.250
Mg 0.750 0.750 0.750

Computed properties:
The calculated total energy comes out at -3.672 eV/atom. The distance to the lowest polymorph of the same formula comes out at 0.021 eV/atom.

***

(15)
SrMgSiPd: optimized geometry, PBE.

a = 4.953 Å, b = 4.953 Å, c = 4.953 Å
α = 60.00°, β = 60.00°, γ = 60.00°
Fractional coordinates of all 4 atoms:
Si 0.000 0.000 0.000
Mg 0.750 0.750 0.750
Sr 0.250 0.250 0.250
Pd 0.500 0.500 0.500

Computed properties:
The calculated total energy comes out at -3.692 eV/atom. The distance to the lowest polymorph of the same formula comes out at 0.000 eV/atom.

***

(16)
SrMgSi2Pd: optimized geometry, PBE.

a = 6.220 Å, b = 6.220 Å, c = 6.220 Å
α = 139.84°, β = 139.84°, γ = 58.10°
Fractional coordinates of all 5 atoms:
Si 0.360 0.860 0.500
Si 0.140 0.640 0.500
Pd 0.500 0.500 0.000
Mg 0.000 0.000 0.000
Sr 0.750 0.250 0.500

Computed properties:
The calculated total energy comes out at -4.407 eV/atom.

***

(17)
SrMgSiPd: optimized geometry, PBE.

a = 4.843 Å, b = 4.843 Å, c = 4.843 Å
α = 60.00°, β = 60.00°, γ = 60.00°
Fractional coordinates of all 4 atoms:
Si 0.000 0.000 0.000
Mg 0.750 0.750 0.750
Pd 0.250 0.250 0.250
Sr 0.500 0.500 0.500

Computed properties:
The calculated total energy comes out at -3.639 eV/atom. The distance to the lowest polymorph of the same formula comes out at 0.053 eV/atom.

***

(18)
YMg4SiPd2: optimized geometry, PBE.

a = 6.286 Å, b = 8.972 Å, c = 8.972 Å
α = 29.48°, β = 90.00°, γ = 90.00°
Fractional coordinates of all 8 atoms:
Si 0.500 0.356 0.356
Pd 0.500 0.102 0.102
Pd 0.500 0.932 0.932
Y 0.500 0.527 0.527
Mg 0.228 0.826 0.826
Mg 0.772 0.826 0.826
Mg 0.758 0.215 0.215
Mg 0.242 0.215 0.215

Computed properties:
The calculated total energy comes out at -3.438 eV/atom. As for the total magnetic moment: 0.00 μB per cell.

***

(19)
Sm4Mg3Pd2: optimized geometry, PBE.

a = 7.618 Å, b = 3.799 Å, c = 8.422 Å
α = 90.00°, β = 106.33°, γ = 90.00°
Fractional coordinates of all 9 atoms:
Pd 0.169 0.000 0.619
Pd 0.831 0.000 0.381
Mg 0.800 0.000 0.010
Mg 0.500 0.000 0.500
Mg 0.200 0.000 0.990
Sm 0.112 0.500 0.318
Sm 0.434 0.500 0.789
Sm 0.566 0.500 0.211
Sm 0.888 0.500 0.682

Computed properties:
The calculated total energy comes out at -4.194 eV/atom. As for the total magnetic moment: 0.01 μB per cell.

***

(20)
SmMgPd: optimized geometry, PBE.

a = 4.870 Å, b = 4.870 Å, c = 4.870 Å
α = 60.00°, β = 60.00°, γ = 60.00°
Fractional coordinates of all 3 atoms:
Sm 0.000 0.000 0.000
Pd 0.750 0.750 0.750
Mg 0.250 0.250 0.250

Computed properties:
The calculated total energy comes out at -3.688 eV/atom. As for the total magnetic moment: 0.01 μB per cell.

***

(21)
Sm3Mg3Tl2Pd: optimized geometry, PBE.

a = 7.655 Å, b = 7.655 Å, c = 4.512 Å
α = 90.00°, β = 90.00°, γ = 120.00°
Fractional coordinates of all 9 atoms:
Sm 0.000 0.403 0.500
Sm 0.403 0.000 0.500
Sm 0.597 0.597 0.500
Tl 0.667 0.333 0.000
Tl 0.333 0.667 0.000
Mg 0.231 0.231 0.000
Mg 0.000 0.769 0.000
Mg 0.769 0.000 0.000
Pd 0.000 0.000 0.500

Computed properties:
The calculated total energy comes out at -3.639 eV/atom. As for the total magnetic moment: 0.00 μB per cell.

***

(22)
Sm3Mg3Zn2Pd: optimized geometry, PBE.

a = 7.662 Å, b = 7.662 Å, c = 4.130 Å
α = 90.00°, β = 90.00°, γ = 120.00°
Fractional coordinates of all 9 atoms:
Sm 0.411 0.000 0.000
Sm 0.000 0.411 0.000
Sm 0.589 0.589 0.000
Mg 0.238 0.238 0.500
Mg 0.000 0.762 0.500
Mg 0.762 0.000 0.500
Pd 0.000 0.000 0.000
Zn 0.333 0.667 0.500
Zn 0.667 0.333 0.500

Computed properties:
The calculated total energy comes out at -3.328 eV/atom. As for the total magnetic moment: 0.45 μB per cell.

***

(23)
Sm3Mg3ZnPd2: optimized geometry, PBE.

a = 7.602 Å, b = 7.602 Å, c = 4.120 Å
α = 90.00°, β = 90.00°, γ = 120.00°
Fractional coordinates of all 9 atoms:
Sm 0.417 0.000 0.000
Sm 0.583 0.583 0.000
Sm 0.000 0.417 0.000
Pd 0.667 0.333 0.500
Pd 0.333 0.667 0.500
Mg 0.754 0.000 0.500
Mg 0.246 0.246 0.500
Mg 0.000 0.754 0.500
Zn 0.000 0.000 0.000

Computed properties:
The calculated total energy comes out at -3.908 eV/atom. As for the total magnetic moment: 0.00 μB per cell.

***

(24)
Mg6Sn2Pd: optimized geometry, PBE.

a = 7.993 Å, b = 7.993 Å, c = 3.523 Å
α = 90.00°, β = 90.00°, γ = 120.00°
Fractional coordinates of all 9 atoms:
Mg 0.745 0.000 0.000
Mg 0.638 0.638 0.500
Mg 0.362 0.000 0.500
Mg 0.255 0.255 0.000
Mg 0.000 0.745 0.000
Mg 0.000 0.362 0.500
Pd 0.000 0.000 0.500
Sn 0.667 0.333 0.000
Sn 0.333 0.667 0.000

Computed properties:
The calculated total energy comes out at -2.805 eV/atom.

***

(25)
Mg2Sn2Pd3: optimized geometry, PBE.

a = 7.808 Å, b = 7.808 Å, c = 7.808 Å
α = 33.91°, β = 33.91°, γ = 33.91°
Fractional coordinates of all 7 atoms:
Pd 0.625 0.625 0.625
Pd 0.373 0.373 0.373
Pd 0.877 0.877 0.877
Mg 0.245 0.245 0.245
Mg 0.754 0.754 0.754
Sn 0.497 0.497 0.497
Sn 0.003 0.003 0.003

Computed properties:
The calculated total energy comes out at -4.452 eV/atom.